# 1
{"formula": "VTe2IN", "functional": "PBE", "state": "relaxed", "lattice_angstrom": [[5.1622, 0.0000, 0.0000], [0.0000, 5.1622, 0.0000], [0.0000, 0.0000, 5.8175]], "species": ["V", "Te", "I", "Te", "N"], "fractional_positions": [[0.0000, 0.0000, 0.0000], [0.0000, 0.5000, 0.0000], [0.0000, 0.0000, 0.5000], [0.5000, 0.0000, 0.0000], [0.5000, 0.5000, 0.5000]], "e_form_raw_kj_per_mol_fu": 523, "de_polymorph_mev_per_atom": 878, "space_group": "P4/mmm (123)"}

# 2
{"formula": "In2Te3", "functional": "PBE", "state": "relaxed", "lattice_angstrom": [[-3.9061, -1.4693, 8.6342], [-2.0448, 5.2135, -7.7849], [-1.7657, -8.6589, -3.7244]], "species": ["In", "Te", "Te", "Te", "Te", "Te", "In", "In", "Te", "In", "In", "Te", "Te", "Te", "In"], "fractional_positions": [[0.5814, 0.0814, 0.5000], [0.0281, 0.3704, 0.0000], [0.8180, 0.1330, 0.3150], [0.3704, 0.0281, 0.0000], [0.0281, 0.0281, 0.6576], [0.3704, 0.3704, 0.3424], [0.4752, 0.6597, 0.1845], [0.2906, 0.4752, 0.8155], [0.5030, 0.8180, 0.6850], [0.6597, 0.4752, 0.1845], [0.4752, 0.2906, 0.8155], [0.1177, 0.1177, 0.0000], [0.8180, 0.5030, 0.6850], [0.1330, 0.8180, 0.3150], [0.0814, 0.5814, 0.5000]], "e_form_raw_kj_per_mol_fu": -7, "space_group": "I4mm (107)"}

# 3
{"formula": "LaCeCuPt", "functional": "PBE", "state": "relaxed", "lattice_angstrom": [[-3.2889, -1.2642, -3.6937], [-4.2827, -2.5281, 1.1512], [-4.5174, 2.3569, -0.3118]], "species": ["Cu", "Pt", "Ce", "La"], "fractional_positions": [[0.5000, 0.5000, 0.5000], [0.0000, 0.0000, 0.0000], [0.2500, 0.2500, 0.2500], [0.7500, 0.7500, 0.7500]], "energy_ev_per_atom": -5.804, "space_group": "F-43m (216)"}

# 4
{"formula": "TlGeRh2", "functional": "PBE", "state": "relaxed", "lattice_angstrom": [[3.8679, 0.0000, 0.0000], [1.9339, 3.3497, 0.0000], [1.9339, 1.1166, 5.6571]], "species": ["Rh", "Rh", "Tl", "Ge"], "fractional_positions": [[0.2721, 0.2721, 0.1837], [0.0613, 0.0613, 0.8162], [0.4967, 0.4967, 0.5099], [0.6700, 0.6700, 0.9901]], "energy_ev_per_atom": -5.610, "space_group": "R3m (160)"}

# 5
{"formula": "Sr8Ge2N", "functional": "PBE", "state": "relaxed", "lattice_angstrom": [[-1.4825, -3.5050, -3.7009], [5.1666, -4.3577, 2.0574], [-7.7567, -1.7892, 8.6088]], "species": ["Sr", "Sr", "Ge", "Ge", "Sr", "N", "Sr", "Sr", "Sr", "Sr", "Sr"], "fractional_positions": [[0.5649, 0.3102, 0.1298], [0.3256, 0.0578, 0.6511], [0.1998, 0.7615, 0.3996], [0.8002, 0.2385, 0.6004], [0.0544, 0.8310, 0.1087], [0.5000, 0.0000, 0.0000], [0.9456, 0.1690, 0.8913], [0.7905, 0.6684, 0.5810], [0.2095, 0.3316, 0.4190], [0.4351, 0.6898, 0.8702], [0.6744, 0.9422, 0.3489]], "e_form_raw_kj_per_mol_fu": -194, "space_group": "C2/m (12)"}

# 6
{"formula": "Cd2SbTe2", "functional": "PBE", "state": "relaxed", "lattice_angstrom": [[-6.3088, -5.1845, -0.4675], [3.0835, -3.1301, -6.8988], [2.1067, -2.7615, 2.1946]], "species": ["Te", "Te", "Te", "Te", "Sb", "Cd", "Sb", "Cd", "Cd", "Cd"], "fractional_positions": [[0.1817, 0.6817, 0.5000], [0.3183, 0.1817, 0.5000], [0.6817, 0.8183, 0.5000], [0.8183, 0.3183, 0.5000], [0.5000, 0.5000, 0.0000], [0.3725, 0.8725, 0.0000], [0.0000, 0.0000, 0.0000], [0.6275, 0.1275, 0.0000], [0.8725, 0.6275, 0.0000], [0.1275, 0.3725, 0.0000]], "e_form_raw_kj_per_mol_fu": 47, "de_polymorph_mev_per_atom": 107, "space_group": "P4/mbm (127)"}

DOS(E_F): 1.04 0.33 2.04 0.32 0.67 0.41 (states/eV per atom)